A) First-principles (PBE) data for an optimized crystal structure of Al2Zn2Pb, as listed in Alexandria via LeMat-Bulk.

a b c (Å): 5.2238 5.2238 5.5582
angles (deg): 90.00 90.00 90.00
With the nearest neighbours (Å) after each atom.
Positions (direct):
Al: 0.0000 0.0000 0.0000  2 Pb 2.78
Al: 0.5000 0.5000 0.0000  4 Al 3.69, 8 Zn 3.81
Zn: 0.0000 0.5000 0.5000  2 Pb 2.61
Zn: 0.5000 0.0000 0.5000  2 Pb 2.61
Pb: 0.0000 0.0000 0.5000  4 Zn 2.61, 2 Al 2.78

---

B) First-principles (PBE) data for an optimized crystal structure of Al2Zn2Pb, as listed in Alexandria via LeMat-Bulk.

a b c (Å): 6.6067 6.6067 6.6067
angles (deg): 143.87 143.87 52.03
With the nearest neighbours (Å) after each atom.
Positions (direct):
Al: 0.2500 0.7500 0.5000  4 Zn 2.66, 4 Al 2.90
Al: 0.7500 0.2500 0.5000  4 Zn 2.66, 4 Al 2.90
Zn: 0.1071 0.1071 0.0000  1 Zn 2.54, 4 Al 2.66
Zn: 0.8929 0.8929 0.0000  1 Zn 2.54, 4 Al 2.66
Pb: 0.5000 0.5000 0.0000  8 Zn 3.16

---

Relative energy of each structure, in meV per atom: A) 816; B) 0.

---

A) First-principles (PBE) data for an optimized crystal structure of Al2ZnPb2, as listed in Alexandria via LeMat-Bulk.

a b c (Å): 8.5963 8.5963 3.4364
angles (deg): 90.00 90.00 90.00
With the nearest neighbours (Å) after each atom.
Positions (direct):
Al: 0.1131 0.3869 0.0000  1 Al 2.75, 2 Pb 3.02
Al: 0.3869 0.8869 0.0000  1 Al 2.75, 2 Pb 3.02
Al: 0.6131 0.1131 0.0000  1 Al 2.75, 2 Pb 3.02
Al: 0.8869 0.6131 0.0000  1 Al 2.75, 2 Pb 3.02
Zn: 0.0000 0.0000 0.5000  4 Pb 3.15, 2 Zn 3.44
Zn: 0.5000 0.5000 0.5000  4 Pb 3.15, 2 Zn 3.44
Pb: 0.1825 0.6825 0.5000  6 Al 3.02-3.13, 2 Zn 3.15
Pb: 0.3175 0.1825 0.5000  6 Al 3.02-3.13, 2 Zn 3.15
Pb: 0.6825 0.8175 0.5000  6 Al 3.02-3.13, 2 Zn 3.15
Pb: 0.8175 0.3175 0.5000  6 Al 3.02-3.13, 2 Zn 3.15

---

B) First-principles (PBE) data for an optimized crystal structure of Al2ZnPb2, as listed in Alexandria via LeMat-Bulk.

a b c (Å): 8.8394 8.8394 8.8394
angles (deg): 154.73 154.73 36.04
With the nearest neighbours (Å) after each atom.
Positions (direct):
Al: 0.2500 0.7500 0.5000  4 Al 2.73
Al: 0.7500 0.2500 0.5000  4 Al 2.73
Zn: 0.0000 0.0000 0.0000  8 Pb 3.28
Pb: 0.3928 0.3928 0.0000  4 Al 3.08, 4 Zn 3.28
Pb: 0.6072 0.6072 0.0000  4 Al 3.08, 4 Zn 3.28

---

Relative energy of each structure, in meV per atom: A) 113; B) 0.

---

A) First-principles (PBE) data for an optimized crystal structure of Al3ZnPb, as listed in Alexandria via LeMat-Bulk.

a b c (Å): 5.4700 5.4700 5.4700
angles (deg): 90.00 90.00 90.00
With the nearest neighbours (Å) after each atom.
Positions (direct):
Al: 0.0000 0.0000 0.5000  2 Pb 2.73
Al: 0.0000 0.5000 0.0000  2 Pb 2.73
Al: 0.5000 0.0000 0.0000  2 Pb 2.73
Zn: 0.5000 0.5000 0.5000  12 Al 3.87
Pb: 0.0000 0.0000 0.0000  6 Al 2.73

---

B) First-principles (PBE) data for an optimized crystal structure of Al3ZnPb, as listed in Alexandria via LeMat-Bulk.

a b c (Å): 4.8533 4.8533 4.8533
angles (deg): 90.00 90.00 90.00
With the nearest neighbours (Å) after each atom.
Positions (direct):
Al: 0.0000 0.0000 0.5000  2 Zn 2.43
Al: 0.0000 0.5000 0.0000  2 Zn 2.43
Al: 0.5000 0.0000 0.0000  2 Zn 2.43
Zn: 0.0000 0.0000 0.0000  6 Al 2.43
Pb: 0.5000 0.5000 0.5000  12 Al 3.43

---

Relative energy of each structure, in meV per atom: A) 620; B) 0.

---

A) First-principles (PBE) data for an optimized crystal structure of Al3Pd4, as listed in Alexandria via LeMat-Bulk.

a b c (Å): 6.8872 6.8872 6.8872
angles (deg): 113.48 113.48 113.48
With the nearest neighbours (Å) after each atom.
Positions (direct):
Al: 0.0396 0.6292 0.7652  8 Pd 2.61-2.75
Al: 0.2348 0.9604 0.3708  8 Pd 2.61-2.75
Al: 0.3708 0.2348 0.9604  8 Pd 2.61-2.75
Al: 0.6292 0.7652 0.0396  8 Pd 2.61-2.75
Al: 0.7652 0.0396 0.6292  8 Pd 2.61-2.75
Al: 0.9604 0.3708 0.2348  8 Pd 2.61-2.75
Pd: 0.0000 0.0000 0.0000  6 Al 2.61, 2 Pd 2.69
Pd: 0.1188 0.2707 0.5715  7 Al 2.61-2.75, 4 Pd 2.82-2.92
Pd: 0.2707 0.5715 0.1188  7 Al 2.61-2.75, 4 Pd 2.82-2.92
Pd: 0.4285 0.8812 0.7293  7 Al 2.61-2.75, 4 Pd 2.82-2.92
Pd: 0.5000 0.5000 0.5000  8 Pd 2.69-2.82, 6 Al 2.93
Pd: 0.5715 0.1188 0.2707  7 Al 2.61-2.75, 4 Pd 2.82-2.92
Pd: 0.7293 0.4285 0.8812  7 Al 2.61-2.75, 4 Pd 2.82-2.92
Pd: 0.8812 0.7293 0.4285  7 Al 2.61-2.75, 4 Pd 2.82-2.92

---

B) First-principles (PBE) data for an optimized crystal structure of Al3Pd4, as listed in Alexandria via LeMat-Bulk.

a b c (Å): 7.3522 7.3522 7.3522
angles (deg): 33.73 33.73 33.73
With the nearest neighbours (Å) after each atom.
Positions (direct):
Al: 0.0000 0.0000 0.0000  8 Pd 2.59-2.62
Al: 0.2470 0.2470 0.2470  8 Pd 2.54-2.68
Al: 0.7530 0.7530 0.7530  8 Pd 2.54-2.68
Pd: 0.1248 0.1248 0.1248  5 Al 2.54-2.59
Pd: 0.3759 0.3759 0.3759  7 Al 2.62-2.68
Pd: 0.6241 0.6241 0.6241  7 Al 2.62-2.68
Pd: 0.8752 0.8752 0.8752  5 Al 2.54-2.59

---

Relative energy of each structure, in meV per atom: A) 0; B) 58.

---

A) First-principles (PBE) data for an optimized crystal structure of PmAl2Pd2, as listed in Alexandria via LeMat-Bulk.

a b c (Å): 6.3006 6.3006 6.3006
angles (deg): 141.27 141.27 55.93
With the nearest neighbours (Å) after each atom.
Positions (direct):
Pm: 0.0000 0.0000 0.0000  8 Pd 3.25, 8 Al 3.48
Al: 0.2500 0.7500 0.5000  4 Pd 2.53
Al: 0.7500 0.2500 0.5000  4 Pd 2.53
Pd: 0.3782 0.3782 0.0000  4 Al 2.53, 1 Pd 2.71
Pd: 0.6218 0.6218 0.0000  4 Al 2.53, 1 Pd 2.71

---

B) First-principles (PBE) data for an optimized crystal structure of PmAl2Pd2, as listed in Alexandria via LeMat-Bulk.

a b c (Å): 4.3618 4.3618 10.1189
angles (deg): 90.00 90.00 90.00
With the nearest neighbours (Å) after each atom.
Positions (direct):
Pm: 0.2500 0.2500 0.2494  8 Pd 3.32-3.34, 8 Al 3.33-3.34
Pm: 0.7500 0.7500 0.7506  8 Pd 3.32-3.34, 8 Al 3.33-3.34
Al: 0.2500 0.2500 0.8742  5 Pd 2.47-2.53
Al: 0.2500 0.7500 0.5000  4 Pd 2.55
Al: 0.7500 0.2500 0.5000  4 Pd 2.55
Al: 0.7500 0.7500 0.1258  5 Pd 2.47-2.53
Pd: 0.2500 0.2500 0.6299  5 Al 2.47-2.55
Pd: 0.2500 0.7500 0.0000  4 Al 2.53
Pd: 0.7500 0.2500 0.0000  4 Al 2.53
Pd: 0.7500 0.7500 0.3701  5 Al 2.47-2.55

---

Relative energy of each structure, in meV per atom: A) 36; B) 0.